# 1
# HfZr5Ga3

A geometry-optimized HfZr5Ga3 structure (PBE, the Alexandria database).

Output
Its total energy is -7.29 eV per atom. The calculation puts the magnetic moment at 0.00 μB per atom.

Geometry as CIF:
```
data_HfZr5Ga3
_chemical_formula_sum 'Hf2 Zr10 Ga6'
_cell_length_a 8.4357
_cell_length_b 8.4357
_cell_length_c 5.8635
_cell_angle_alpha 90.00
_cell_angle_beta 90.00
_cell_angle_gamma 120.00
_space_group_name_H-M_alt 'P 63/m c m'
_space_group_IT_number 193
_space_group_name_Hall '-P 6c 2'
loop_
_atom_site_label
_atom_site_type_symbol
_atom_site_fract_x
_atom_site_fract_y
_atom_site_fract_z
Hf1 Hf 0.0000 0.0000 0.0000
Zr1 Zr 0.0000 0.3325 0.2500
Zr2 Zr 0.3333 0.6667 0.0000
Ga1 Ga 0.0000 0.3335 0.7500
```

---

# 2
# MgFeB2Os

A geometry-optimized MgFeB2Os structure (PBE, the Alexandria database).

Output
Its total energy is -4.15 eV per atom. The calculation puts the magnetic moment at 0.07 μB per atom.

Geometry as CIF:
```
data_MgFeB2Os
_chemical_formula_sum 'Mg1 Fe1 B2 Os1'
_cell_length_a 4.032
_cell_length_b 4.032
_cell_length_c 4.562
_cell_angle_alpha 90.00
_cell_angle_beta 90.00
_cell_angle_gamma 90.00
_space_group_name_H-M_alt 'P 4/m m m'
_space_group_IT_number 123
_space_group_name_Hall '-P 4 2'
loop_
_atom_site_label
_atom_site_type_symbol
_atom_site_fract_x
_atom_site_fract_y
_atom_site_fract_z
Mg1 Mg 0.000 0.000 0.000
Fe1 Fe 0.500 0.500 0.500
B1 B 0.000 0.500 0.000
Os1 Os 0.000 0.000 0.500
```